Compound: LaBeCl4
Source: Alexandria
Functional: GGA-PBE
Structure: optimized geometry

Formation energy without anion corrections = -0.191 eV/atom
Spin magnetization = 1.05 Bohr magnetons per cell

Unit cell a=5.8680 b=5.8680 c=5.8680 alpha=60.00 beta=60.00 gamma=60.00
Sites, in units of the cell vectors:
La1 0.0000 0.0000 0.0000
Be1 0.7500 0.7500 0.7500
Cl1 0.3749 0.3749 0.3749
Cl2 0.3749 0.3749 0.8754
Cl3 0.3749 0.8754 0.3749
Cl4 0.8754 0.3749 0.3749